# Ho5Er4In4 (PBE-GGA, optimized geometry)
data_Ho5Er4In4
_cell_length_a 12.1034
_cell_length_b 12.1034
_cell_length_c 5.0506
_cell_angle_alpha 90.00
_cell_angle_beta 90.00
_cell_angle_gamma 90.00
_symmetry_space_group_name_H-M 'I 4/m'
_symmetry_Int_Tables_number 87
_symmetry_space_group_name_Hall '-I 4'
loop_
_atom_site_label
_atom_site_type_symbol
_atom_site_fract_x
_atom_site_fract_y
_atom_site_fract_z
Ho1 Ho 0.0000 0.0000 0.0000
Ho2 Ho 0.0953 0.1863 0.5000
Er1 Er 0.0976 0.3925 0.0000
In1 In 0.1083 0.7654 0.0000
# Total magnetic moment ... 0.000 μB per formula unit
# DOS(E_F) ... 0.875 states/eV/atom
# ΔE_f ... -0.32 eV per atom